Computed, not measured: crystalline TbTmHgRh at its relaxed geometry at the GGA-PBE level of DFT.

Computed properties:
DFT formation energy	-0.6264	eV per atom
offset from the most stable computed form	83	meV/atom
total magnetization	0.000	μB per formula unit
E	-19.26	eV/f.u.
V	89.88	Å³/f.u.

```
data_TbTmHgRh
_cell_length_a 5.0280
_cell_length_b 5.0280
_cell_length_c 5.0280
_cell_angle_alpha 60.00
_cell_angle_beta 60.00
_cell_angle_gamma 60.00
_space_group_name_H-M_alt 'P 1'
_space_group_IT_number 1
_space_group_name_Hall 'P 1'
loop_
_atom_site_label
_atom_site_type_symbol
_atom_site_fract_x
_atom_site_fract_y
_atom_site_fract_z
Tb1 Tb 0.0000 0.0000 0.0000
Tm1 Tm 0.5000 0.5000 0.5000
Hg1 Hg 0.2500 0.2500 0.2500
Rh1 Rh 0.7500 0.7500 0.7500
```

---

Computed, not measured: crystalline TbTmHgRh at its relaxed geometry at the GGA-PBE level of DFT.

Computed properties:
DFT formation energy	-0.7094	eV per atom
offset from the most stable computed form	0	meV/atom
total magnetization	0.000	μB per formula unit
E	-19.59	eV/f.u.
V	90.68	Å³/f.u.

```
data_TbTmHgRh
_cell_length_a 3.4829
_cell_length_b 3.4829
_cell_length_c 7.4756
_cell_angle_alpha 90.00
_cell_angle_beta 90.00
_cell_angle_gamma 90.00
_space_group_name_H-M_alt 'P 1'
_space_group_IT_number 1
_space_group_name_Hall 'P 1'
loop_
_atom_site_label
_atom_site_type_symbol
_atom_site_fract_x
_atom_site_fract_y
_atom_site_fract_z
Tb1 Tb 0.0000 0.0000 0.0000
Tm1 Tm 0.0000 0.0000 0.5591
Hg1 Hg 0.5000 0.5000 0.2868
Rh1 Rh 0.5000 0.5000 0.7723
```